Here is a geometry-optimized Hg2PtPb structure from Alexandria. Energies are from PBEsol.

Properties
Final energy   -2.94 eV/atom
Theoretical density   15.49 g cm⁻³
ΔH_f (0 K)   85 meV per atom

Geometry as POSCAR:
```
Hg2PtPb
1.0
3.111 0.000 0.000
0.000 3.639 0.000
0.000 0.000 7.609
Hg Pb Pt
2 1 1
Cartesian
0.000 0.000 5.372 Hg
0.000 0.000 2.237 Hg
1.555 1.820 0.000 Pb
1.555 1.820 3.804 Pt
```